DFT (PBE) results for crystalline Sr2ZnTeO6 at its relaxed geometry.

ΔE_f (raw) = -1.9927 eV/atom

Cell: 5.755 5.680 5.681 Å, 119.99 120.19 90.00°
Atoms (fractional coordinates):
Sr: 0.245 0.250 0.500
Sr: 0.755 0.750 0.500
Zn: 0.500 0.000 0.000
Te: 0.000 0.500 0.000
O: 0.305 0.739 0.479
O: 0.202 0.223 0.929
O: 0.798 0.294 0.071
O: 0.202 0.706 0.929
O: 0.798 0.777 0.071
O: 0.695 0.261 0.521

DFT (PBE) results for crystalline InBi2Cl at its relaxed geometry.

ΔE_f (raw) = -0.3108 eV/atom
Polymorph energy (0 for the lowest one) = 0.0 meV per atom

Cell: 4.427 7.925 16.919 Å, 89.99 90.00 90.00°
Atoms (fractional coordinates):
In: 0.000 0.250 0.637
In: 0.000 0.750 0.363
In: 0.500 0.250 0.863
In: 0.500 0.750 0.137
Bi: 0.748 0.940 0.943
Bi: 0.252 0.060 0.057
Bi: 0.248 0.560 0.557
Bi: 0.752 0.440 0.443
Bi: 0.748 0.440 0.057
Bi: 0.252 0.560 0.943
Bi: 0.248 0.060 0.443
Bi: 0.752 0.940 0.557
Cl: 0.250 0.563 0.250
Cl: 0.750 0.437 0.750
Cl: 0.750 0.937 0.250
Cl: 0.250 0.063 0.750

DFT (PBE) results for crystalline CsHg2B at its relaxed geometry.

Formation enthalpy at 0 K = 0.19 eV/atom

Cell: 7.229 7.229 7.231 Å, 60.01 60.01 90.00°
Atoms (fractional coordinates):
Cs: 0.000 0.000 0.000
Cs: 0.750 0.250 0.500
B: 0.500 0.500 0.000
B: 0.250 0.750 0.500
Hg: 0.376 0.125 0.250
Hg: 0.374 0.625 0.250
Hg: 0.375 0.624 0.750
Hg: 0.875 0.626 0.750

Ρ list, top to bottom, in g cm⁻³: 5.89, 6.36, 6.77
Total magnetic moment list, top to bottom, in μB/f.u.: 0.0, 0.0, 0.0